VASP calculation (PBE-GGA) on crystalline CeGdErTh at its relaxed geometry.

The calculation puts the density of states at the Fermi level at 10.14 states/eV/cell. The value obtained for the formation energy is 17.72 kJ/mol of atoms.

abc: 5.6406 5.6406 5.6406
angles: 60.00 60.00 60.00
Positions (direct):
Ce (0.0000, 0.0000, 0.0000)
Gd (0.7500, 0.7500, 0.7500)
Er (0.2500, 0.2500, 0.2500)
Th (0.5000, 0.5000, 0.5000)

---

VASP calculation (PBE-GGA) on crystalline LiMgGaSi at its relaxed geometry.

As for the formation energy (no corrections): -84 meV per atom. The calculation puts the density of states at the Fermi level at 0.33 states/eV/cell.

abc: 4.6121 4.6121 4.6121
angles: 60.00 60.00 60.00
Positions (direct):
Li (0.0000, 0.0000, 0.0000)
Mg (0.5000, 0.5000, 0.5000)
Ga (0.2500, 0.2500, 0.2500)
Si (0.7500, 0.7500, 0.7500)

---

VASP calculation (PBE-GGA) on crystalline Zn2InSb at its relaxed geometry.

As for the excess energy over the best structure of this formula in the dataset: 1.1 kJ/mol of atoms. As for the formation energy (no corrections): 103 meV per atom. The calculation puts the density of states at the Fermi level at 1.42 states/eV/cell.

abc: 4.2607 4.2607 6.4334
angles: 110.03 110.03 60.62
Positions (direct):
Zn (0.2446, 0.2446, 0.2297)
Zn (0.7554, 0.7554, 0.7703)
In (0.0000, 0.0000, 0.5000)
Sb (0.5000, 0.5000, 0.0000)

---

VASP calculation (PBE-GGA) on crystalline LiTl2C at its relaxed geometry.

As for the excess energy over the best structure of this formula in the dataset: 9.8 kJ/mol of atoms. The calculation puts the density of states at the Fermi level at 1.38 states/eV/cell. The value obtained for the formation energy is 105.26 kJ/mol of atoms.

abc: 4.7636 4.7636 4.7636
angles: 60.00 60.00 60.00
Positions (direct):
Li (0.0000, 0.0000, 0.0000)
Tl (0.2500, 0.2500, 0.2500)
Tl (0.7500, 0.7500, 0.7500)
C (0.5000, 0.5000, 0.5000)

---

VASP calculation (PBE-GGA) on crystalline Zr2MnAuSe at its relaxed geometry.

As for the formation energy (no corrections): 523 meV per atom. The calculation puts the density of states at the Fermi level at 6.11 states/eV/cell.

abc: 5.2021 5.2021 4.8398
angles: 90.00 90.00 90.00
Positions (direct):
Zr (0.0000, 0.5000, 0.0000)
Zr (0.5000, 0.0000, 0.0000)
Mn (0.0000, 0.0000, 0.5000)
Au (0.0000, 0.0000, 0.0000)
Se (0.5000, 0.5000, 0.5000)

---

VASP calculation (PBE-GGA) on crystalline PPtCl2 at its relaxed geometry.

As for the excess energy over the best structure of this formula in the dataset: 143.1 kJ/mol of atoms. As for the formation energy (no corrections): 907 meV per atom. The calculation puts the density of states at the Fermi level at 3.13 states/eV/cell.

abc: 2.9780 3.7940 6.2200
angles: 90.00 90.00 90.00
Positions (direct):
P (0.0000, 0.0000, 0.0000)
Pt (0.0000, 0.0000, 0.5000)
Cl (0.5000, 0.5000, 0.2516)
Cl (0.5000, 0.5000, 0.7484)

---

VASP calculation (PBE-GGA) on crystalline LaTe3P at its relaxed geometry.

As for the excess energy over the best structure of this formula in the dataset: 85.7 kJ/mol of atoms. As for the formation energy (no corrections): 436 meV per atom. The calculation puts the density of states at the Fermi level at 5.76 states/eV/cell.

abc: 6.2047 6.2047 6.2047
angles: 90.00 90.00 90.00
Positions (direct):
La (0.0000, 0.0000, 0.0000)
Te (0.0000, 0.0000, 0.5000)
Te (0.0000, 0.5000, 0.0000)
Te (0.5000, 0.0000, 0.0000)
P (0.5000, 0.5000, 0.5000)

---

VASP calculation (PBE-GGA) on crystalline SrMgTc2 at its relaxed geometry.

The calculation puts the density of states at the Fermi level at 3.42 states/eV/cell. The value obtained for the formation energy is 74.96 kJ/mol of atoms.

abc: 2.7764 2.7764 9.7038
angles: 90.00 90.00 90.00
Positions (direct):
Sr (0.0000, 0.0000, 0.0000)
Mg (0.0000, 0.0000, 0.5000)
Tc (0.5000, 0.5000, 0.2769)
Tc (0.5000, 0.5000, 0.7231)

---

VASP calculation (PBE-GGA) on crystalline Fe2Rh3 at its relaxed geometry.

As for the excess energy over the best structure of this formula in the dataset: 21.5 kJ/mol of atoms. The calculation puts the density of states at the Fermi level at 7.70 states/eV/cell. The value obtained for the formation energy is 20.81 kJ/mol of atoms.

abc: 4.1056 4.1056 5.0863
angles: 90.00 90.00 120.00
Positions (direct):
Fe (0.3333, 0.6667, 0.3281)
Fe (0.6667, 0.3333, 0.6719)
Rh (0.0000, 0.0000, 0.5000)
Rh (0.3333, 0.6667, 0.8428)
Rh (0.6667, 0.3333, 0.1572)

---

VASP calculation (PBE-GGA) on crystalline K2BePb at its relaxed geometry.

As for the excess energy over the best structure of this formula in the dataset: 0.0 kJ/mol of atoms. The calculation puts the density of states at the Fermi level at 0.49 states/eV/cell. The value obtained for the formation energy is 16.11 kJ/mol of atoms.

abc: 6.4180 6.4180 6.4180
angles: 138.79 122.24 73.40
Positions (direct):
K (0.0000, 0.0000, 0.0000)
K (0.6805, 0.1805, 0.5000)
Be (0.3643, 0.3643, 0.0000)
Pb (0.2960, 0.7960, 0.5000)

---

VASP calculation (PBE-GGA) on crystalline LuPtRhPb at its relaxed geometry.

The calculation puts the density of states at the Fermi level at 3.29 states/eV/cell. The value obtained for the formation energy is -60.73 kJ/mol of atoms.

abc: 4.7776 4.7776 4.7776
angles: 60.00 60.00 60.00
Positions (direct):
Lu (0.0000, 0.0000, 0.0000)
Pt (0.7500, 0.7500, 0.7500)
Rh (0.2500, 0.2500, 0.2500)
Pb (0.5000, 0.5000, 0.5000)

---

VASP calculation (PBE-GGA) on crystalline RbBeTeBr at its relaxed geometry.

As for the excess energy over the best structure of this formula in the dataset: 0.0 kJ/mol of atoms. As for the formation energy (no corrections): -896 meV per atom. The calculation puts the density of states at the Fermi level at 0.00 states/eV/cell.

abc: 4.8746 7.6572 7.6572
angles: 30.44 90.00 90.00
Positions (direct):
Rb (0.0000, 0.0000, 0.0000)
Be (0.5000, 0.7676, 0.7676)
Te (0.5000, 0.3521, 0.3521)
Br (0.5000, 0.6240, 0.6240)

---

VASP calculation (PBE-GGA) on crystalline TbAl2Ge2 at its relaxed geometry.

The calculation puts the density of states at the Fermi level at 2.22 states/eV/cell. The value obtained for the formation energy is -40.46 kJ/mol of atoms.

abc: 4.2731 4.2731 6.6710
angles: 90.00 90.00 120.00
Positions (direct):
Tb (0.0000, 0.0000, 0.0000)
Al (0.3333, 0.6667, 0.6452)
Al (0.6667, 0.3333, 0.3548)
Ge (0.3333, 0.6667, 0.2578)
Ge (0.6667, 0.3333, 0.7422)

---

VASP calculation (PBE-GGA) on crystalline AlHgRh2 at its relaxed geometry.

As for the excess energy over the best structure of this formula in the dataset: 17.8 kJ/mol of atoms. The calculation puts the density of states at the Fermi level at 3.59 states/eV/cell. The value obtained for the formation energy is -30.18 kJ/mol of atoms.

abc: 8.5648 8.5648 8.5648
angles: 19.92 19.92 19.92
Positions (direct):
Al (0.0000, 0.0000, 0.0000)
Hg (0.5000, 0.5000, 0.5000)
Rh (0.2594, 0.2594, 0.2594)
Rh (0.7406, 0.7406, 0.7406)

---

VASP calculation (PBE-GGA) on crystalline SbAsPt2 at its relaxed geometry.

As for the excess energy over the best structure of this formula in the dataset: 6.6 kJ/mol of atoms. As for the formation energy (no corrections): -288 meV per atom. The calculation puts the density of states at the Fermi level at 2.21 states/eV/cell.

abc: 4.2217 4.9723 4.6330
angles: 90.00 115.74 90.00
Positions (direct):
Sb (0.0000, 0.0000, 0.0000)
As (0.5618, 0.5000, 0.1430)
Pt (0.6757, 0.0000, 0.3688)
Pt (0.8735, 0.5000, 0.7574)

---

VASP calculation (PBE-GGA) on crystalline LiAg2PbF6 at its relaxed geometry.

As for the formation energy (no corrections): -1808 meV per atom. The calculation puts the density of states at the Fermi level at 3.60 states/eV/cell.

abc: 5.8515 5.9150 5.9394
angles: 92.11 118.14 112.60
Positions (direct):
Li (0.0000, 0.0000, 0.0000)
Ag (0.6315, 0.3848, 0.8855)
Ag (0.6589, 0.9313, 0.3708)
Pb (0.1062, 0.6269, 0.5510)
F (0.1506, 0.7975, 0.2181)
F (0.1755, 0.0168, 0.7747)
F (0.6039, 0.5724, 0.1906)
F (0.6151, 0.7341, 0.7124)
F (0.7336, 0.2649, 0.6129)
F (0.9004, 0.1973, 0.1884)

---

VASP calculation (PBE-GGA) on crystalline Pt3Br at its relaxed geometry.

As for the excess energy over the best structure of this formula in the dataset: 14.7 kJ/mol of atoms. As for the formation energy (no corrections): 528 meV per atom. The calculation puts the density of states at the Fermi level at 13.76 states/eV/cell.

abc: 7.1390 7.1390 6.7779
angles: 90.00 90.00 120.00
Positions (direct):
Pt (0.0000, 0.5000, 0.0000)
Pt (0.0000, 0.5000, 0.5000)
Pt (0.1673, 0.3345, 0.2500)
Pt (0.1673, 0.8327, 0.2500)
Pt (0.3345, 0.1673, 0.7500)
Pt (0.5000, 0.0000, 0.0000)
Pt (0.5000, 0.0000, 0.5000)
Pt (0.5000, 0.5000, 0.0000)
Pt (0.5000, 0.5000, 0.5000)
Pt (0.6655, 0.8327, 0.2500)
Pt (0.8327, 0.1673, 0.7500)
Pt (0.8327, 0.6655, 0.7500)
Br (0.0000, 0.0000, 0.0000)
Br (0.0000, 0.0000, 0.5000)
Br (0.3333, 0.6667, 0.7500)
Br (0.6667, 0.3333, 0.2500)

---

VASP calculation (PBE-GGA) on crystalline La2CrAs4Ir3 at its relaxed geometry.

The calculation puts the density of states at the Fermi level at 4.76 states/eV/cell. The value obtained for the formation energy is -74.49 kJ/mol of atoms.

abc: 4.3368 4.3368 10.1690
angles: 90.00 90.00 90.00
Positions (direct):
La (0.0000, 0.5000, 0.2429)
La (0.5000, 0.0000, 0.7571)
Cr (0.0000, 0.0000, 0.5000)
As (0.0000, 0.0000, 0.0000)
As (0.0000, 0.5000, 0.6350)
As (0.5000, 0.0000, 0.3650)
As (0.5000, 0.5000, 0.0000)
Ir (0.0000, 0.5000, 0.8812)
Ir (0.5000, 0.0000, 0.1188)
Ir (0.5000, 0.5000, 0.5000)

---

VASP calculation (PBE-GGA) on crystalline YOsOF2 at its relaxed geometry.

As for the excess energy over the best structure of this formula in the dataset: 19.5 kJ/mol of atoms. As for the formation energy (no corrections): -1045 meV per atom. The calculation puts the density of states at the Fermi level at 3.60 states/eV/cell.

abc: 4.6166 4.6166 3.7107
angles: 90.00 90.00 90.00
Positions (direct):
Y (0.0000, 0.0000, 0.0000)
Os (0.5000, 0.5000, 0.5000)
O (0.5000, 0.5000, 0.0000)
F (0.0000, 0.5000, 0.5000)
F (0.5000, 0.0000, 0.5000)

---

VASP calculation (PBE-GGA) on crystalline CrCoN3 at its relaxed geometry.

As for the formation energy (no corrections): 1429 meV per atom. The calculation puts the density of states at the Fermi level at 3.69 states/eV/cell.

abc: 3.5654 3.5654 3.5654
angles: 90.00 90.00 90.00
Positions (direct):
Cr (0.0000, 0.0000, 0.0000)
Co (0.5000, 0.5000, 0.5000)
N (0.0000, 0.5000, 0.5000)
N (0.5000, 0.0000, 0.5000)
N (0.5000, 0.5000, 0.0000)